Entry 1:
Compound: BaH3Ir
Source: the Alexandria database
Functional: PBE
Structure: relaxed

Total DFT energy (no corrections) = -22.6 eV/cell
Density = 9116 kg/m³

The structure in extended XYZ format:
```
5
Lattice="-2.2725 -2.5439 1.9464 2.3162 0.3434 3.1531 -2.2126 2.9724 1.3016" Properties=species:S:1:pos:R:3 pbc="T T T"
Ba -1.0844 0.3859 3.2005
H 1.1581 0.1717 1.5765
H -1.1063 1.4862 0.6508
H -1.1363 -1.2720 0.9732
Ir 0.0000 0.0000 0.0000
```

Entry 2:
Compound: BaHIr2
Source: the Alexandria database
Functional: PBE
Structure: relaxed

Total DFT energy (no corrections) = -45.9 eV/cell
Density = 12524 kg/m³

The structure in extended XYZ format:
```
8
Lattice="-3.8637 -3.3312 -2.7735 3.5888 -0.3745 -4.5495 1.5839 -5.2100 -2.0273" Properties=species:S:1:pos:R:3 pbc="T T T"
H 2.5176 -3.7187 -5.1192
H -0.1375 -1.8529 -3.6615
Ir -0.6036 -2.5979 -2.1151
Ir 1.1893 -2.7864 -4.3909
Ir 0.0494 -7.0563 -6.7899
Ir 1.9827 -5.3908 -5.4049
Ba 0.0000 0.0000 0.0000
Ba -1.2087 -5.1970 -4.2312
```

Entry 3:
Compound: Ba6HIr
Source: the Alexandria database
Functional: PBE
Structure: relaxed

Total DFT energy (no corrections) = -25.1 eV/cell
Density = 4525 kg/m³

The structure in extended XYZ format:
```
8
Lattice="6.8294 0.0017 3.5548 2.4685 6.3454 3.5730 -0.1027 -0.0978 8.5249" Properties=species:S:1:pos:R:3 pbc="T T T"
Ba 7.6176 3.7914 7.4580
Ba 3.9148 5.7032 6.2140
Ba 1.5775 2.4578 8.1948
Ba 4.4932 4.6792 10.5178
Ba 4.7019 1.5700 5.1350
Ba 5.2803 0.5460 9.4388
Ir 0.0000 0.0000 0.0000
H 4.5976 3.1246 7.8264
```

Entry 4:
Compound: Ba6H3Ir
Source: the Alexandria database
Functional: PBE
Structure: relaxed

Total DFT energy (no corrections) = -65.1 eV/cell
Density = 4631 kg/m³

The structure in extended XYZ format:
```
20
Lattice="7.9248 0.0000 -0.3373 0.0000 7.8372 0.0000 -0.0071 0.0000 11.7680" Properties=species:S:1:pos:R:3 pbc="T T T"
Ba 6.4638 5.3800 4.6739
Ba 6.4664 5.3480 0.6604
Ba 2.5005 6.4078 6.7131
Ba 2.9716 4.3179 2.8611
Ba 1.4513 2.4892 10.7703
Ba 2.4979 6.3758 10.7265
Ba 5.4198 1.4614 0.7042
Ba 5.4172 1.4294 4.7176
Ba 6.9305 7.4379 8.5765
Ba 0.9872 0.3993 2.8542
Ba 1.4539 2.4572 6.7568
Ba 4.9461 3.5193 8.5696
H -0.0035 0.0000 5.8840
H 3.9624 3.9186 -0.1686
H 6.3462 7.4162 2.7529
H 5.5374 3.4976 2.6252
H 2.3803 4.3396 8.8055
H 1.5715 0.4210 8.6778
Ir 3.9588 3.9186 5.7153
Ir 0.0000 0.0000 0.0000
```

Entry 5:
Compound: BaHIr
Source: the Alexandria database
Functional: PBE
Structure: relaxed

Total DFT energy (no corrections) = -29.6 eV/cell
Density = 8200 kg/m³

The structure in extended XYZ format:
```
6
Lattice="-2.9914 0.7042 3.9228 1.1861 -4.8774 2.2650 4.3625 -0.2775 3.3892" Properties=species:S:1:pos:R:3 pbc="T T T"
Ba 3.9387 -4.4097 5.7735
Ba -1.3516 -0.6527 4.1599
Ir 2.7947 -2.7156 2.9761
Ir 1.2834 -2.8545 4.9324
H 1.3409 -4.4725 4.5217
H 1.3027 -3.0057 6.7222
```

Entry 6:
Compound: BaH2Ir
Source: the Alexandria database
Functional: PBE
Structure: relaxed

Total DFT energy (no corrections) = -36.1 eV/cell
Density = 8903 kg/m³

The structure in extended XYZ format:
```
8
Lattice="4.7015 0.0000 0.0000 0.0000 4.7015 0.0000 2.3508 2.3508 5.5954" Properties=species:S:1:pos:R:3 pbc="T T T"
H 4.7094 3.5261 1.3989
H 3.5261 2.3587 4.1966
H 4.6936 1.1754 1.3989
H 5.8769 2.3428 4.1966
Ba 2.3508 4.7015 2.7977
Ba 2.3508 2.3508 0.0000
Ir 4.7015 2.3508 2.7977
Ir 0.0000 0.0000 0.0000
```

Entry 7:
Compound: BaHIr2
Source: the Alexandria database
Functional: PBE
Structure: relaxed

Total DFT energy (no corrections) = -16.6 eV/cell
Density = 11665 kg/m³

The structure in extended XYZ format:
```
4
Lattice="0.0000 3.3385 3.3385 3.3385 0.0000 3.3385 3.3385 3.3385 0.0000" Properties=species:S:1:pos:R:3 pbc="T T T"
Ba 3.3385 3.3385 3.3385
H 0.0000 0.0000 0.0000
Ir 5.0077 5.0077 5.0077
Ir 1.6692 1.6692 1.6692
```

Entry 8:
Compound: K2BaH8Ir
Source: the Alexandria database
Functional: PBE
Structure: relaxed

Total DFT energy (no corrections) = -42.3 eV/cell
Density = 3725 kg/m³

The structure in extended XYZ format:
```
12
Lattice="5.5665 0.0000 0.0000 -2.7832 4.8207 0.0000 0.0000 0.0000 6.9083" Properties=species:S:1:pos:R:3 pbc="T T T"
K 2.7832 1.6069 0.9346
K 0.0000 3.2138 5.9738
H 2.7832 3.4675 5.8963
H 2.7832 1.6069 3.6060
H 4.3946 0.6766 5.8963
H 1.6113 4.1441 1.0120
H 1.1719 0.6766 5.8963
H 0.0000 1.3532 1.0120
H 0.0000 3.2138 3.3023
H -1.6113 4.1441 1.0120
Ir 0.0000 0.0000 0.0000
Ba 0.0000 0.0000 3.4542
```

Entry 9:
Compound: K2BaH6Ir
Source: the Alexandria database
Functional: PBE
Structure: relaxed

Total DFT energy (no corrections) = -37.1 eV/cell
Density = 3443 kg/m³

The structure in extended XYZ format:
```
10
Lattice="6.7348 0.0000 0.0000 0.0000 5.8496 0.0000 0.0000 -2.9248 5.0659" Properties=species:S:1:pos:R:3 pbc="T T T"
H 5.7351 0.0000 1.3676
H 5.7351 1.7404 4.3821
H 0.9998 2.9248 3.6983
H 5.7351 -1.7404 4.3821
H 0.9998 4.6652 0.6838
H 0.9998 1.1844 0.6838
Ir 0.0000 0.0000 0.0000
Ba 3.3674 0.0000 0.0000
K 0.7568 0.0000 3.3772
K 5.9780 2.9248 1.6886
```

Entry 10:
Compound: KBaHIr2
Source: the Alexandria database
Functional: PBE
Structure: relaxed

Total DFT energy (no corrections) = -21.3 eV/cell
Density = 10133 kg/m³

The structure in extended XYZ format:
```
5
Lattice="-0.2419 1.4193 3.9752 0.1608 -3.9758 1.4293 5.1387 0.2838 0.2114" Properties=species:S:1:pos:R:3 pbc="T T T"
Ir 0.0804 -1.9879 0.7146
Ir -0.1210 0.7097 1.9876
Ba 2.5693 0.1419 0.1057
H 0.0000 0.0000 0.0000
K 2.5287 -1.1363 2.8080
```

Entry 11:
Compound: Ba2LiH6Ir
Source: the Alexandria database
Functional: PBE
Structure: relaxed

Total DFT energy (no corrections) = -39.4 eV/cell
Density = 5475 kg/m³

The structure in extended XYZ format:
```
10
Lattice="-4.4357 1.8416 -1.5596 -2.7491 -3.5725 3.6003 1.5561 5.2604 1.7858" Properties=species:S:1:pos:R:3 pbc="T T T"
Ba -4.7570 0.8012 1.7849
Ba -0.8716 2.7282 2.0416
H -3.4804 2.4528 -0.2237
H -4.1653 3.4218 2.8685
H -2.1483 1.0767 4.0502
H -1.4634 0.1077 0.9580
H -2.5870 5.4728 0.8016
H -3.0416 -1.9434 3.0250
Ir 0.0000 0.0000 0.0000
Li -2.2178 0.9208 -0.7798
```

Entry 12:
Compound: BaMoHIr2
Source: the Alexandria database
Functional: PBE
Structure: relaxed

Total DFT energy (no corrections) = -16.3 eV/cell
Density = 7331 kg/m³

The structure in extended XYZ format:
```
5
Lattice="5.1471 0.0000 0.0000 0.0000 5.2896 0.0000 0.0000 0.0000 5.1471" Properties=species:S:1:pos:R:3 pbc="T T T"
Mo 0.0000 2.6448 0.0000
Ir 0.0000 0.0000 2.5735
Ir 2.5735 0.0000 0.0000
H 2.5735 2.6448 2.5735
Ba 0.0000 0.0000 0.0000
```

Which of these has the highest total DFT energy (no corrections)? BaMoHIr2